DFT (GGA+U) results for crystalline K2TlWO6 at its relaxed geometry. Values from VASP.

Output
The calculation puts the magnetization at 1.049 μB per cell. Its raw total energy is -56.21 eV for the cell shown. As for the space group: No. 148.

Geometry as Quantum ESPRESSO input:
```
&SYSTEM
  ibrav = 0, nat = 10, ntyp = 4
/
ATOMIC_SPECIES
K 39.10 K.upf
Tl 204.38 Tl.upf
W 183.84 W.upf
O 16.00 O.upf
CELL_PARAMETERS angstrom
-2.628 -2.349 4.805
-2.750 -5.273 -0.385
2.358 -4.791 2.644
ATOMIC_POSITIONS crystal
K 0.566 0.566 0.302
K 0.066 0.066 0.801
Tl 0.816 0.816 0.552
W 0.316 0.316 0.052
O 0.547 0.086 0.282
O 0.086 0.084 0.282
O 0.084 0.547 0.282
O 0.546 0.548 0.821
O 0.548 0.085 0.821
O 0.085 0.546 0.821
```